No. 1
## Ca3Tb4Te8 (PBE-GGA)

Data for Ca3Tb4Te8 after structural relaxation.

Summary:
* size of the total moment: 0.000 Bohr magnetons per cell
* symmetry: C2/m
* E: -72.0 eV/cell
* V: 488 Å³ per cell
* raw formation energy: -1489 meV/atom
* mass density: 6.052 Mg/m³

a = 8.7934 Å, b = 8.8224 Å, c = 8.8224 Å
α = 90.15°, β = 119.71°, γ = 119.71°
Fractional positions:
Tb: 0.0000 0.5000 0.0000
Ca: 0.5000 0.0000 0.5000
Tb: 0.0000 0.0000 0.5000
Tb: 0.5000 0.0000 0.0000
Te: 0.5024 0.7538 0.7538
Te: 0.0038 0.7490 0.7490
Ca: 0.5000 0.5000 0.5000
Te: 0.4976 0.2462 0.2462
Te: 0.0000 0.7488 0.2512
Tb: 0.0000 0.0000 0.0000
Te: 0.0000 0.2512 0.7488
Te: 0.5000 0.2487 0.7513
Ca: 0.5000 0.5000 0.0000
Te: 0.5000 0.7513 0.2487
Te: 0.9962 0.2510 0.2510

=====

No. 2
## Cs2AuSeF6 (PBE-GGA)

Data for Cs2AuSeF6 after structural relaxation.

Summary:
* size of the total moment: 1.000 Bohr magnetons per cell
* symmetry: I4/mmm
* E: -38.1 eV/cell
* V: 228 Å³ per cell
* raw formation energy: -1845 meV/atom
* mass density: 4.783 Mg/m³

a = 6.9088 Å, b = 6.9088 Å, c = 6.8271 Å
α = 59.60°, β = 59.60°, γ = 90.00°
Last column: magnetic moment on the atom in μB.
Fractional positions:
F: 0.6993 0.6993 0.0000  0.04
F: 0.3007 0.6993 0.0000  0.04
F: 0.6993 0.3007 0.0000  0.04
F: 0.3007 0.3007 0.0000  0.04
Cs: 0.2500 0.7500 0.5000  0.00
Cs: 0.7500 0.2500 0.5000  0.00
Se: 0.5000 0.5000 0.0000  0.49
Au: 0.0000 0.0000 0.0000  0.03
F: 0.7867 0.7867 0.4266  0.03
F: 0.2133 0.2133 0.5734  0.03

=====

No. 3
## AgSbI2O (PBE-GGA)

Data for AgSbI2O after structural relaxation.

Summary:
* size of the total moment: 0.000 Bohr magnetons per cell
* symmetry: P4/mmm
* E: -13.9 eV/cell
* V: 155 Å³ per cell
* raw formation energy: 225 meV/atom
* offset from the most stable computed form: 1.984 eV/f.u.
* mass density: 5.353 Mg/m³

a = 6.2076 Å, b = 6.2076 Å, c = 4.0207 Å
α = 90.00°, β = 90.00°, γ = 90.00°
Fractional positions:
O: 0.0000 0.0000 0.0000
I: 0.0000 0.5000 0.0000
I: 0.5000 0.0000 0.0000
Sb: 0.0000 0.0000 0.5000
Ag: 0.5000 0.5000 0.5000

=====

No. 4
## PuNpZnNi (PBE-GGA)

Data for PuNpZnNi after structural relaxation.

Summary:
* size of the total moment: 9.004 Bohr magnetons per cell
* symmetry: F-43m
* E: -34.2 eV/cell
* energy relative to the elements: 0.04 eV/atom
* V: 71 Å³ per cell
* mass density: 14.096 Mg/m³

a = 4.6541 Å, b = 4.6541 Å, c = 4.6541 Å
α = 60.00°, β = 60.00°, γ = 60.00°
Last column: magnetic moment on the atom in μB.
Fractional positions:
Pu: 0.2500 0.2500 0.2500  5.25
Zn: 0.0000 0.0000 0.0000  0.00
Np: 0.5000 0.5000 0.5000  3.63
Ni: 0.7500 0.7500 0.7500  0.07

=====

No. 5
## LaTlZnB2 (PBE-GGA)

Data for LaTlZnB2 after structural relaxation.

Summary:
* size of the total moment: 0.000 Bohr magnetons per cell
* symmetry: P4/mmm
* E: -14.0 eV/cell
* energy relative to the elements: 1.58 eV/atom
* V: 124 Å³ per cell
* mass density: 5.748 Mg/m³

a = 4.4919 Å, b = 6.1615 Å, c = 4.4919 Å
α = 90.00°, β = 90.00°, γ = 90.00°
Fractional positions:
Tl: 0.0000 0.0000 0.0000
Zn: 0.5000 0.5000 0.5000
B: 0.0000 0.0000 0.5000
B: 0.5000 0.0000 0.0000
La: 0.0000 0.5000 0.0000

=====

No. 6
## HfAg2Sn (PBE-GGA)

Data for HfAg2Sn after structural relaxation.

Summary:
* size of the total moment: 0.000 Bohr magnetons per cell
* symmetry: I-42d
* E: -38.2 eV/cell
* energy relative to the elements: 0.14 eV/atom
* V: 175 Å³ per cell
* mass density: 9.738 Mg/m³

a = 4.0831 Å, b = 4.0831 Å, c = 10.8832 Å
α = 79.19°, β = 79.19°, γ = 90.00°
Fractional positions:
Ag: 0.6275 0.1250 0.2500
Ag: 0.3750 0.3725 0.7500
Hf: 0.7500 0.2500 0.5000
Sn: 0.2500 0.7500 0.5000
Ag: 0.8750 0.8775 0.7500
Hf: 0.0000 0.0000 0.0000
Ag: 0.1225 0.6250 0.2500
Sn: 0.5000 0.5000 0.0000